Entry 1:
First-principles (PBE) data for a relaxed structure of MgCdHgSe3, as listed in the Open Quantum Materials Database.

Cell: 3.8494 13.3368 11.6303 Å, 90.00 90.00 90.00°
Closest atoms and distances in Å follow each position.
Space group Cmcm (No. 63)
One atom of each set of equivalent atoms:
Mg1 0.0000 0.2219 0.2500 (multiplicity 4)  6 Se 2.72-3.00
Cd1 0.0000 0.0000 0.0000 (multiplicity 4)  4 Se 2.82
Hg1 0.0000 0.4901 0.7500 (multiplicity 4)  4 Se 2.66-2.72
Se1 0.0000 0.1339 0.7500 (multiplicity 4)  2 Hg 2.72, 2 Mg 2.72
Se2 0.0000 0.3605 0.5759 (multiplicity 8)  1 Hg 2.66, 2 Cd 2.82

Summary:
Its crystal system is orthorhombic.

---

Entry 2:
First-principles (PBE) data for a relaxed structure of SrMg2CdHg, as listed in the Open Quantum Materials Database.

Cell: 4.5631 4.5631 13.0219 Å, 90.00 90.00 90.00°
Closest atoms and distances in Å follow each position.
Space group I4mm (No. 107)
One atom of each set of equivalent atoms:
Sr1 0.0000 0.0000 0.0000 (multiplicity 2)  4 Hg 3.53, 4 Cd 3.54, 4 Mg 3.94
Mg1 0.0000 0.5000 0.2532 (multiplicity 4)  2 Hg 2.89, 2 Cd 2.93, 4 Mg 3.23
Cd1 0.0000 0.0000 0.6116 (multiplicity 2)  1 Hg 2.89, 4 Mg 2.93
Hg1 0.0000 0.0000 0.3898 (multiplicity 2)  1 Cd 2.89, 4 Mg 2.89

Summary:
Its crystal system is tetragonal.

---

Entry 3:
First-principles (PBE) data for a relaxed structure of Y3Mg3Cd2Hg, as listed in the Open Quantum Materials Database.

Cell: 7.6895 7.6895 4.3922 Å, 90.00 90.00 120.00°
Closest atoms and distances in Å follow each position.
Space group P-62m (No. 189)
One atom of each set of equivalent atoms:
Y1 0.0000 0.5876 0.0000 (multiplicity 3)  1 Hg 3.17, 4 Cd 3.19, 6 Mg 3.43-3.53
Mg1 0.0000 0.2445 0.5000 (multiplicity 3)  2 Hg 2.89, 2 Cd 2.96
Cd1 0.3333 0.6667 0.5000 (multiplicity 2)  3 Mg 2.96, 6 Y 3.19
Hg1 0.0000 0.0000 0.0000 (multiplicity 1)  6 Mg 2.89, 3 Y 3.17

Summary:
Its crystal system is hexagonal.

---

Entry 4:
First-principles (PBE) data for a relaxed structure of CdHg2Mo, as listed in the Open Quantum Materials Database.

Cell: 6.9055 6.9055 6.9055 Å, 90.00 90.00 90.00°
Closest atoms and distances in Å follow each position.
Space group F-43m (No. 216)
One atom of each set of equivalent atoms:
Cd1 0.0000 0.0000 0.0000 (multiplicity 4)  4 Hg 2.99, 4 Mo 2.99
Hg1 0.0000 0.0000 0.5000 (multiplicity 4)  4 Mo 2.99, 4 Hg 2.99
Hg2 0.2500 0.2500 0.2500 (multiplicity 4)  4 Hg 2.99, 4 Cd 2.99
Mo1 0.2500 0.2500 0.7500 (multiplicity 4)  4 Hg 2.99, 4 Cd 2.99

Summary:
Its crystal system is cubic.

---

Entry 5:
First-principles (PBE) data for a relaxed structure of Sc4CdHgN2, as listed in the Open Quantum Materials Database.

Cell: 3.2486 3.2486 14.8888 Å, 90.00 90.00 120.00°
Closest atoms and distances in Å follow each position.
Space group P-6m2 (No. 187)
One atom of each set of equivalent atoms:
Sc1 0.0000 0.0000 0.1639 (multiplicity 2)  3 N 2.24
Sc2 0.3333 0.6667 0.3275 (multiplicity 2)  3 N 2.23
Cd1 0.0000 0.0000 0.5000 (multiplicity 1)  6 Sc 3.18, 6 Cd 3.25
Hg1 0.3333 0.6667 0.0000 (multiplicity 1)  6 Sc 3.08, 6 Hg 3.25
N1 0.6667 0.3333 0.2464 (multiplicity 2)  6 Sc 2.23-2.24

Summary:
Its crystal system is hexagonal.

---

Entry 6:
First-principles (PBE) data for a relaxed structure of Na6CdHg, as listed in the Open Quantum Materials Database.

Cell: 5.3468 5.3468 7.5539 Å, 90.00 90.00 90.00°
Closest atoms and distances in Å follow each position.
Space group P4/mmm (No. 123)
One atom of each set of equivalent atoms:
Na1 0.0000 0.0000 0.0000 (multiplicity 1)  8 Na 3.26
Na2 0.0000 0.5000 0.2469 (multiplicity 4)  2 Hg 3.26, 4 Na 3.26-3.29, 2 Cd 3.29
Na3 0.5000 0.5000 0.5000 (multiplicity 1)  8 Na 3.29
Cd1 0.0000 0.0000 0.5000 (multiplicity 1)  8 Na 3.29
Hg1 0.5000 0.5000 0.0000 (multiplicity 1)  8 Na 3.26

Summary:
Its crystal system is tetragonal.

---

Entry 7:
First-principles (PBE) data for a relaxed structure of Na8Cd2Hg, as listed in the Open Quantum Materials Database.

Cell: 9.2398 5.3394 12.2432 Å, 90.00 104.43 90.00°
Closest atoms and distances in Å follow each position.
Space group C2/m (No. 12)
One atom of each set of equivalent atoms:
Na1 0.0895 0.0000 0.2684 (multiplicity 4)  1 Hg 3.18, 4 Na 3.20-3.23, 3 Cd 3.30
Na2 0.1370 0.5000 0.9111 (multiplicity 4)  3 Hg 3.26, 4 Na 3.27-3.29, 1 Cd 3.31
Na3 0.1796 0.0000 0.5386 (multiplicity 4)  5 Na 3.20-3.26, 3 Cd 3.27
Na4 0.2289 0.5000 0.1866 (multiplicity 4)  8 Na 3.23-3.29
Cd1 0.0439 0.5000 0.6318 (multiplicity 4)  1 Cd 3.13, 7 Na 3.27-3.31
Hg1 0.0000 0.0000 0.0000 (multiplicity 2)  8 Na 3.18-3.26

Summary:
Its crystal system is monoclinic.

---

Entry 8:
First-principles (PBE) data for a relaxed structure of NaCdHg, as listed in the Open Quantum Materials Database.

Cell: 5.1051 5.1051 3.2587 Å, 90.00 90.00 120.00°
Closest atoms and distances in Å follow each position.
Space group P-6m2 (No. 187)
One atom of each set of equivalent atoms:
Na1 0.0000 0.0000 0.0000 (multiplicity 1)  2 Na 3.26, 6 Hg 3.37, 6 Cd 3.37
Cd1 0.6667 0.3333 0.5000 (multiplicity 1)  3 Hg 2.95, 2 Cd 3.26
Hg1 0.3333 0.6667 0.5000 (multiplicity 1)  3 Cd 2.95, 2 Hg 3.26

Summary:
Its crystal system is hexagonal.

---

Entry 9:
First-principles (PBE) data for a relaxed structure of NaCd2Hg2, as listed in the Open Quantum Materials Database.

Cell: 4.5711 4.5711 12.8320 Å, 90.00 90.00 90.00°
Closest atoms and distances in Å follow each position.
Space group I4/mmm (No. 139)
One atom of each set of equivalent atoms:
Na1 0.0000 0.0000 0.0000 (multiplicity 2)  8 Hg 3.51
Cd1 0.0000 0.5000 0.2500 (multiplicity 4)  4 Hg 2.93, 4 Cd 3.23
Hg1 0.0000 0.0000 0.3924 (multiplicity 4)  1 Hg 2.76, 4 Cd 2.93

Summary:
Its crystal system is tetragonal.

---

Entry 10:
First-principles (PBE) data for a relaxed structure of Nb2CdHg, as listed in the Open Quantum Materials Database.

Cell: 6.8013 6.8013 6.8013 Å, 90.00 90.00 90.00°
Closest atoms and distances in Å follow each position.
Space group F-43m (No. 216)
One atom of each set of equivalent atoms:
Nb1 0.0000 0.0000 0.0000 (multiplicity 4)  4 Hg 2.95, 4 Nb 2.95
Nb2 0.2500 0.2500 0.2500 (multiplicity 4)  4 Cd 2.95, 4 Nb 2.95
Cd1 0.0000 0.0000 0.5000 (multiplicity 4)  4 Nb 2.95, 4 Hg 2.95
Hg1 0.2500 0.2500 0.7500 (multiplicity 4)  4 Cd 2.95, 4 Nb 2.95

Summary:
Its crystal system is cubic.

---

Entry 11:
First-principles (PBE) data for a relaxed structure of NbCdHg, as listed in the Open Quantum Materials Database.

Cell: 6.5070 6.5070 6.5070 Å, 90.00 90.00 90.00°
Closest atoms and distances in Å follow each position.
Space group F-43m (No. 216)
One atom of each set of equivalent atoms:
Nb1 0.0000 0.0000 0.0000 (multiplicity 4)  4 Cd 2.82
Cd1 0.2500 0.2500 0.7500 (multiplicity 4)  4 Hg 2.82, 4 Nb 2.82
Hg1 0.0000 0.0000 0.5000 (multiplicity 4)  4 Cd 2.82

Summary:
Its crystal system is cubic.

---

Entry 12:
First-principles (PBE) data for a relaxed structure of NbCdHg, as listed in the Open Quantum Materials Database.

Cell: 6.5988 6.5988 6.5988 Å, 90.00 90.00 90.00°
Closest atoms and distances in Å follow each position.
Space group F-43m (No. 216)
One atom of each set of equivalent atoms:
Nb1 0.0000 0.0000 0.0000 (multiplicity 4)  4 Cd 2.86, 4 Hg 2.86
Cd1 0.2500 0.2500 0.7500 (multiplicity 4)  4 Nb 2.86
Hg1 0.2500 0.2500 0.2500 (multiplicity 4)  4 Nb 2.86

Summary:
Its crystal system is cubic.

---

| no. | uncorrected energy (eV per atom) |
| --- | --- |
| 1 | -2.599 |
| 2 | -1.490 |
| 3 | -3.225 |
| 4 | -2.393 |
| 5 | -6.480 |
| 6 | -1.221 |
| 7 | -1.220 |
| 8 | -1.025 |
| 9 | -0.829 |
| 10 | -4.827 |
| 11 | -2.948 |
| 12 | -2.987 |